Below is a relaxed structure of Ca2Cu2Pd, with properties calculated at the GGA-PBE level.

Cell: 3.510 3.510 16.956 Å, 90.00 90.00 90.00°
Fractional coordinates of all 10 atoms:
Ca1 0.000 0.000 0.103
Ca2 0.000 0.000 0.897
Ca3 0.500 0.500 0.397
Ca4 0.500 0.500 0.603
Cu1 0.000 0.500 0.250
Cu2 0.000 0.500 0.750
Cu3 0.500 0.000 0.250
Cu4 0.500 0.000 0.750
Pd1 0.000 0.000 0.500
Pd2 0.500 0.500 0.000

Results
DOS(E_F)   1.64 states/eV/f.u.
Formation energy   -1.2 eV/f.u.
Magnetic moment   0.000 μB per formula unit
Calculated total energy   -3.723 eV per atom
Calculated volume   20.89 A^3/atom
Energy relative to the lowest polymorph listed for this composition   111 meV/atom